{
  "formula": "NdSeO",
  "functional": "SCAN",
  "state": "single point on PBEsol structure",
  "vol_a3_per_atom": 19.3,
  "total_magnetization_mub_per_cell": 0.00,
  "dft_energy_ev_per_atom": -26.066,
  "lattice": [[5.9198, 0.0000, 0.0000], [0.0000, 5.9258, 0.0000], [0.0000, -2.9629, 6.6116]],
  "species": ["Nd", "Nd", "Nd", "Nd", "Se", "Se", "Se", "Se", "O", "O", "O", "O"],
  "fractional_positions": [[0.0000, 0.6671, 0.3342], [0.5000, 0.8329, 0.6658], [0.5000, 0.1671, 0.3342], [0.0000, 0.3329, 0.6658], [0.8559, 0.8564, 0.0000], [0.6441, 0.3564, 0.0000], [0.1441, 0.1436, 0.0000], [0.3559, 0.6436, 0.0000], [0.7500, 0.9946, 0.5000], [0.2500, 0.5054, 0.5000], [0.2500, 0.0054, 0.5000], [0.7500, 0.4946, 0.5000]]
}